A plane-wave DFT calculation with PBE was carried out for crystalline MgSc2BiO6 at its relaxed geometry.

Structure (POSCAR):
```
MgSc2BiO6
1.0
-4.5808 -1.1337 2.7947
-0.8696 -5.0713 1.8989
0.4234 -0.9001 5.7105
O Bi Sc Mg
6 1 2 1
direct
0.2188 0.8846 0.2512
0.8846 0.6453 0.2512
0.4088 0.7261 0.7448
0.7261 0.1202 0.7448
0.1202 0.4088 0.7448
0.6453 0.2188 0.2512
0.3057 0.3057 0.0828
0.0239 0.0239 0.9284
0.5176 0.5176 0.4471
0.8104 0.8104 0.5689
```

- final energy (eV/f.u.) = -73.3
- SG = No. 146
- formation energy without anion corrections (kJ per mole of atoms) = -245
- M_tot (μB per cell) = 0.84